DFT (PBE) results for a geometry-optimized CsK3Tl structure.

Results
Density of states at the Fermi level ... 4.06 states/eV/f.u.
Symmetry ... P2_1/c (14)
Excess energy over the best structure of this formula in the dataset ... 0.0 meV per atom
Formation energy ... -0.029 eV/atom
Total energy ... -1.33 eV per atom

Lattice parameters (Å, degrees): 11.082 9.026 13.767 90.00 103.72 90.00
Element x y z (fractional)
1 Cs 0.119 0.114 0.223
2 Cs 0.119 0.386 0.723
3 Cs 0.881 0.614 0.277
4 Cs 0.881 0.886 0.777
5 K 0.206 0.558 0.047
6 K 0.206 0.942 0.547
7 K 0.307 0.507 0.449
8 K 0.307 0.993 0.949
9 K 0.475 0.680 0.777
10 K 0.475 0.820 0.277
11 K 0.525 0.180 0.723
12 K 0.525 0.320 0.223
13 K 0.693 0.007 0.051
14 K 0.693 0.493 0.551
15 K 0.794 0.058 0.453
16 K 0.794 0.442 0.953
17 Tl 0.457 0.146 0.446
18 Tl 0.457 0.354 0.946
19 Tl 0.543 0.646 0.054
20 Tl 0.543 0.854 0.554

---

DFT (PBE) results for a geometry-optimized TcN2F2 structure.

Results
E_form (uncorrected) ... 850 kJ/mol of formula units
Density of states at the Fermi level ... 2.97 states/eV/f.u.
Symmetry ... P4/mmm (123)
Excess energy over the best structure of this formula in the dataset ... 1705.6 meV per atom
Total energy ... -4.39 eV per atom

Lattice parameters (Å, degrees): 3.564 3.564 4.146 90.00 90.00 90.00
Element x y z (fractional)
1 Tc 0.000 0.000 0.000
2 N 0.000 0.500 0.500
3 N 0.500 0.000 0.500
4 F 0.500 0.500 0.000
5 F 0.500 0.500 0.500

---

> Look up the density of states at the Fermi level of the first one.

4.06 states/eV/f.u.

---

> The highest total energy belongs to which entry?

CsK3Tl

---

> Which value of total energy does entry 1 give?

-1.33 eV per atom

---

> What is the formula in the first record?

CsK3Tl